[1]
# PrNdGdTl PBE optimized geometry
data_PrNdGdTl
_space_group_name_H-M_alt 'F -4 3 m'
_space_group_IT_number 216
_space_group_name_Hall 'F -4 2 3'
_cell_length_a 7.927
_cell_length_b 7.927
_cell_length_c 7.927
_cell_angle_alpha 90.00
_cell_angle_beta 90.00
_cell_angle_gamma 90.00
loop_
_atom_site_label
_atom_site_fract_x
_atom_site_fract_y
_atom_site_fract_z
_atom_site_occupancy
Pr1 0.000 0.000 0.000 1
Nd1 0.000 0.000 0.500 1
Gd1 0.250 0.250 0.750 1
Tl1 0.250 0.250 0.250 1
# Uncorrected energy in eV per cell: -105.6

---

[2]
# MoPtSe2 PBE optimized geometry
data_MoPtSe2
_space_group_name_H-M_alt 'P 4/m m m'
_space_group_IT_number 123
_space_group_name_Hall '-P 4 2'
_cell_length_a 3.229
_cell_length_b 3.229
_cell_length_c 6.331
_cell_angle_alpha 90.00
_cell_angle_beta 90.00
_cell_angle_gamma 90.00
loop_
_atom_site_label
_atom_site_fract_x
_atom_site_fract_y
_atom_site_fract_z
_atom_site_occupancy
Mo1 0.000 0.000 0.000 1
Pt1 0.000 0.000 0.500 1
Se1 0.500 0.500 0.235 1
# E_form (uncorrected) in meV/atom: 50
# Uncorrected energy in eV per cell: -23.6

---

[3]
# Y3ScAg4 PBE optimized geometry
data_Y3ScAg4
_space_group_name_H-M_alt 'P 4/m m m'
_space_group_IT_number 123
_space_group_name_Hall '-P 4 2'
_cell_length_a 3.593
_cell_length_b 3.593
_cell_length_c 14.378
_cell_angle_alpha 90.00
_cell_angle_beta 90.00
_cell_angle_gamma 90.00
loop_
_atom_site_label
_atom_site_fract_x
_atom_site_fract_y
_atom_site_fract_z
_atom_site_occupancy
Y1 0.000 0.000 0.000 1
Y2 0.000 0.000 0.258 1
Sc1 0.000 0.000 0.500 1
Ag1 0.500 0.500 0.128 1
Ag2 0.500 0.500 0.390 1
# Uncorrected energy in eV per cell: -39.6

---

[4]
# TbEuSn2 PBE optimized geometry
data_TbEuSn2
_space_group_name_H-M_alt 'F m -3 m'
_space_group_IT_number 225
_space_group_name_Hall '-F 4 2 3'
_cell_length_a 7.707
_cell_length_b 7.707
_cell_length_c 7.707
_cell_angle_alpha 90.00
_cell_angle_beta 90.00
_cell_angle_gamma 90.00
loop_
_atom_site_label
_atom_site_fract_x
_atom_site_fract_y
_atom_site_fract_z
_atom_site_occupancy
Tb1 0.000 0.000 0.000 1
Eu1 0.000 0.000 0.500 1
Sn1 0.250 0.250 0.250 1
# Uncorrected energy in eV per cell: -100.9

---

[5]
# TaZn2Pt2 PBE optimized geometry
data_TaZn2Pt2
_space_group_name_H-M_alt 'P 4/m b m'
_space_group_IT_number 127
_space_group_name_Hall '-P 4 2ab'
_cell_length_a 7.430
_cell_length_b 7.430
_cell_length_c 2.859
_cell_angle_alpha 90.00
_cell_angle_beta 90.00
_cell_angle_gamma 90.00
loop_
_atom_site_label
_atom_site_fract_x
_atom_site_fract_y
_atom_site_fract_z
_atom_site_occupancy
Ta1 0.000 0.000 0.000 1
Zn1 0.159 0.341 0.500 1
Pt1 0.140 0.640 0.000 1
# Uncorrected energy in eV per cell: -55.6

---

[6]
# CeTh3Sc PBE optimized geometry
data_CeTh3Sc
_space_group_name_H-M_alt 'I m m a'
_space_group_IT_number 74
_space_group_name_Hall '-I 2b 2'
_cell_length_a 5.582
_cell_length_b 6.847
_cell_length_c 15.910
_cell_angle_alpha 90.00
_cell_angle_beta 90.00
_cell_angle_gamma 90.00
loop_
_atom_site_label
_atom_site_fract_x
_atom_site_fract_y
_atom_site_fract_z
_atom_site_occupancy
Ce1 0.250 0.250 0.250 1
Th1 0.000 0.021 0.603 1
Th2 0.000 0.250 0.027 1
Sc1 0.000 0.250 0.806 1
# Uncorrected energy in eV per cell: -134.5

---

[7]
# CrPd3C PBE optimized geometry
data_CrPd3C
_space_group_name_H-M_alt 'P m -3 m'
_space_group_IT_number 221
_space_group_name_Hall '-P 4 2 3'
_cell_length_a 4.534
_cell_length_b 4.534
_cell_length_c 4.534
_cell_angle_alpha 90.00
_cell_angle_beta 90.00
_cell_angle_gamma 90.00
loop_
_atom_site_label
_atom_site_fract_x
_atom_site_fract_y
_atom_site_fract_z
_atom_site_occupancy
Cr1 0.000 0.000 0.000 1
Pd1 0.000 0.000 0.500 1
C1 0.500 0.500 0.500 1
# Uncorrected energy in eV per cell: -23.6

---

[8]
# Cd2PPd2 PBE optimized geometry
data_Cd2PPd2
_space_group_name_H-M_alt 'P 4/m b m'
_space_group_IT_number 127
_space_group_name_Hall '-P 4 2ab'
_cell_length_a 6.394
_cell_length_b 6.394
_cell_length_c 4.408
_cell_angle_alpha 90.00
_cell_angle_beta 90.00
_cell_angle_gamma 90.00
loop_
_atom_site_label
_atom_site_fract_x
_atom_site_fract_y
_atom_site_fract_z
_atom_site_occupancy
Cd1 0.156 0.344 0.000 1
P1 0.000 0.000 0.500 1
Pd1 0.162 0.662 0.500 1
# Uncorrected energy in eV per cell: -37.7

---

[9]
# CaSmIO2 PBE optimized geometry
data_CaSmIO2
_space_group_name_H-M_alt 'P 1 21/m 1'
_space_group_IT_number 11
_cell_length_a 7.106
_cell_length_b 4.268
_cell_length_c 8.088
_cell_angle_alpha 90.00
_cell_angle_beta 103.12
_cell_angle_gamma 90.00
loop_
_space_group_symop_operation_xyz
'x,y,z'
'-x,-y,-z'
'-x,y+1/2,-z'
'x,-y+1/2,z'
loop_
_atom_site_label
_atom_site_fract_x
_atom_site_fract_y
_atom_site_fract_z
_atom_site_occupancy
Ca1 0.126 0.250 0.402 1
Sm1 0.148 0.250 0.902 1
I1 0.472 0.750 0.751 1
O1 0.005 0.750 0.366 1
O2 0.025 0.750 0.892 1
# E_form (uncorrected) in meV/atom: -2784
# Uncorrected energy in eV per cell: -64.2

---

[10]
# AcCoCl2 PBE optimized geometry
data_AcCoCl2
_space_group_name_H-M_alt 'R -3 m'
_space_group_IT_number 166
_space_group_name_Hall '-R 3 2"'
_cell_length_a 3.9161
_cell_length_b 3.9161
_cell_length_c 24.4023
_cell_angle_alpha 90.00
_cell_angle_beta 90.00
_cell_angle_gamma 120.00
loop_
_atom_site_label
_atom_site_fract_x
_atom_site_fract_y
_atom_site_fract_z
_atom_site_occupancy
Ac1 0.0000 0.0000 0.0000 1
Co1 0.0000 0.0000 0.5000 1
Cl1 0.0000 0.0000 0.1190 1
# E_form (uncorrected) in meV/atom: -512
# Uncorrected energy in eV per cell: -50.9

---

[11]
# Th6HgRh PBE optimized geometry
data_Th6HgRh
_space_group_name_H-M_alt 'R -3 m'
_space_group_IT_number 166
_space_group_name_Hall '-R 3 2"'
_cell_length_a 10.0730
_cell_length_b 10.0730
_cell_length_c 8.6205
_cell_angle_alpha 90.00
_cell_angle_beta 90.00
_cell_angle_gamma 120.00
loop_
_atom_site_label
_atom_site_fract_x
_atom_site_fract_y
_atom_site_fract_z
_atom_site_occupancy
Th1 0.0627 0.5314 0.3336 1
Hg1 0.0000 0.0000 0.0000 1
Rh1 0.0000 0.0000 0.5000 1
# Uncorrected energy in eV per cell: -156.5

---

[12]
# BaBeHgPt2 PBE optimized geometry
data_BaBeHgPt2
_space_group_name_H-M_alt 'P 4/m m m'
_space_group_IT_number 123
_space_group_name_Hall '-P 4 2'
_cell_length_a 4.660
_cell_length_b 4.660
_cell_length_c 4.867
_cell_angle_alpha 90.00
_cell_angle_beta 90.00
_cell_angle_gamma 90.00
loop_
_atom_site_label
_atom_site_fract_x
_atom_site_fract_y
_atom_site_fract_z
_atom_site_occupancy
Ba1 0.000 0.000 0.000 1
Be1 0.500 0.500 0.500 1
Hg1 0.500 0.500 0.000 1
Pt1 0.000 0.500 0.500 1
# Uncorrected energy in eV per cell: -19.7

---

[13]
# Ac2CeNd3As6 PBE optimized geometry
data_Ac2CeNd3As6
_space_group_name_H-M_alt 'C 1 2/m 1'
_space_group_IT_number 12
_cell_length_a 19.000
_cell_length_b 4.361
_cell_length_c 8.733
_cell_angle_alpha 90.00
_cell_angle_beta 103.30
_cell_angle_gamma 90.00
loop_
_space_group_symop_operation_xyz
'x,y,z'
'-x,-y,-z'
'-x,y,-z'
'x,-y,z'
'x+1/2,y+1/2,z'
'-x+1/2,-y+1/2,-z'
'-x+1/2,y+1/2,-z'
'x+1/2,-y+1/2,z'
loop_
_atom_site_label
_atom_site_fract_x
_atom_site_fract_y
_atom_site_fract_z
_atom_site_occupancy
Ac1 0.166 0.000 0.332 1
Ce1 0.000 0.500 0.000 1
Nd1 0.000 0.500 0.500 1
Nd2 0.167 0.000 0.835 1
As1 0.004 0.000 0.757 1
As2 0.163 0.500 0.592 1
As3 0.164 0.500 0.072 1
# Uncorrected energy in eV per cell: -148.0

---

[14]
# LiNiBr PBE optimized geometry
data_LiNiBr
_space_group_name_H-M_alt 'A m m 2'
_space_group_IT_number 38
_cell_length_a 3.449
_cell_length_b 4.094
_cell_length_c 15.866
_cell_angle_alpha 90.00
_cell_angle_beta 90.00
_cell_angle_gamma 90.00
loop_
_space_group_symop_operation_xyz
'x,y,z'
'-x,-y,z'
'-x,y,z'
'x,-y,z'
'x,y+1/2,z+1/2'
'-x,-y+1/2,z+1/2'
'-x,y+1/2,z+1/2'
'x,-y+1/2,z+1/2'
loop_
_atom_site_label
_atom_site_fract_x
_atom_site_fract_y
_atom_site_fract_z
_atom_site_occupancy
Li1 0.000 0.000 0.000 1
Li2 0.000 0.000 0.217 1
Ni1 0.000 0.000 0.599 1
Ni2 0.500 0.000 0.496 1
Br1 0.000 0.000 0.391 1
Br2 0.500 0.000 0.709 1
# E_form (uncorrected) in meV/atom: -388
# Uncorrected energy in eV per cell: -42.1

---

[15]
# Zn2SeBr PBE optimized geometry
data_Zn2SeBr
_space_group_name_H-M_alt 'I -4 m 2'
_space_group_IT_number 119
_space_group_name_Hall 'I -4 -2'
_cell_length_a 3.717
_cell_length_b 3.717
_cell_length_c 14.681
_cell_angle_alpha 90.00
_cell_angle_beta 90.00
_cell_angle_gamma 90.00
loop_
_atom_site_label
_atom_site_fract_x
_atom_site_fract_y
_atom_site_fract_z
_atom_site_occupancy
Zn1 0.000 0.000 0.000 1
Zn2 0.000 0.500 0.250 1
Se1 0.000 0.000 0.500 1
Br1 0.000 0.500 0.750 1
# E_form (uncorrected) in meV/atom: -157
# Uncorrected energy in eV per cell: -16.7

---

[16]
# ReAg3Br7 PBE optimized geometry
data_ReAg3Br7
_space_group_name_H-M_alt 'C 1 m 1'
_space_group_IT_number 8
_cell_length_a 13.218
_cell_length_b 8.080
_cell_length_c 7.301
_cell_angle_alpha 90.00
_cell_angle_beta 104.22
_cell_angle_gamma 90.00
loop_
_space_group_symop_operation_xyz
'x,y,z'
'x,-y,z'
'x+1/2,y+1/2,z'
'x+1/2,-y+1/2,z'
loop_
_atom_site_label
_atom_site_fract_x
_atom_site_fract_y
_atom_site_fract_z
_atom_site_occupancy
Re1 0.000 0.000 0.000 1
Ag1 0.075 0.500 0.983 1
Ag2 0.485 0.273 0.505 1
Br1 0.089 0.500 0.626 1
Br2 0.115 0.222 0.197 1
Br3 0.116 0.000 0.776 1
Br4 0.384 0.279 0.819 1
Br5 0.386 0.500 0.249 1
# E_form (uncorrected) in meV/atom: -276
# Uncorrected energy in eV per cell: -71.5

---

[17]
# RuF4 PBE optimized geometry
data_RuF4
_space_group_name_H-M_alt 'P m -3 m'
_space_group_IT_number 221
_space_group_name_Hall '-P 4 2 3'
_cell_length_a 3.969
_cell_length_b 3.969
_cell_length_c 3.969
_cell_angle_alpha 90.00
_cell_angle_beta 90.00
_cell_angle_gamma 90.00
loop_
_atom_site_label
_atom_site_fract_x
_atom_site_fract_y
_atom_site_fract_z
_atom_site_occupancy
Ru1 0.000 0.000 0.000 1
F1 0.000 0.000 0.500 1
F2 0.500 0.500 0.500 1
# E_form (uncorrected) in meV/atom: -1111
# Uncorrected energy in eV per cell: -22.3

---

[18]
# Hf3Sc PBE optimized geometry
data_Hf3Sc
_space_group_name_H-M_alt 'I 4/m m m'
_space_group_IT_number 139
_space_group_name_Hall '-I 4 2'
_cell_length_a 4.487
_cell_length_b 4.487
_cell_length_c 8.967
_cell_angle_alpha 90.00
_cell_angle_beta 90.00
_cell_angle_gamma 90.00
loop_
_atom_site_label
_atom_site_fract_x
_atom_site_fract_y
_atom_site_fract_z
_atom_site_occupancy
Hf1 0.000 0.000 0.000 1
Hf2 0.000 0.500 0.250 1
Sc1 0.000 0.000 0.500 1
# Uncorrected energy in eV per cell: -71.8

---

[19]
# NdInBi3 PBE optimized geometry
data_NdInBi3
_space_group_name_H-M_alt 'P b c m'
_space_group_IT_number 57
_cell_length_a 14.905
_cell_length_b 6.421
_cell_length_c 6.619
_cell_angle_alpha 90.00
_cell_angle_beta 90.00
_cell_angle_gamma 90.00
loop_
_space_group_symop_operation_xyz
'x,y,z'
'-x,-y,-z'
'-x,-y,z+1/2'
'x,y,-z+1/2'
'x,-y+1/2,-z'
'-x,y+1/2,z'
'-x,y+1/2,-z+1/2'
'x,-y+1/2,z+1/2'
loop_
_atom_site_label
_atom_site_fract_x
_atom_site_fract_y
_atom_site_fract_z
_atom_site_occupancy
Nd1 0.174 0.001 0.250 1
In1 0.389 0.750 0.000 1
Bi1 0.002 0.750 0.000 1
Bi2 0.220 0.005 0.750 1
Bi3 0.400 0.213 0.250 1
# Uncorrected energy in eV per cell: -83.6

---

[20]
# Cs3TbI6 PBE optimized geometry
data_Cs3TbI6
_space_group_name_H-M_alt 'P 1 21/c 1'
_space_group_IT_number 14
_cell_length_a 9.032
_cell_length_b 9.634
_cell_length_c 15.507
_cell_angle_alpha 90.00
_cell_angle_beta 124.07
_cell_angle_gamma 90.00
loop_
_space_group_symop_operation_xyz
'x,y,z'
'-x,-y,-z'
'-x,y+1/2,-z+1/2'
'x,-y+1/2,z+1/2'
loop_
_atom_site_label
_atom_site_fract_x
_atom_site_fract_y
_atom_site_fract_z
_atom_site_occupancy
Cs1 0.000 0.000 0.000 1
Cs2 0.212 0.077 0.744 1
Tb1 0.500 0.000 0.500 1
I1 0.176 0.173 0.450 1
I2 0.269 0.736 0.429 1
I3 0.402 0.049 0.279 1
# E_form (uncorrected) in meV/atom: -1516
# Uncorrected energy in eV per cell: -63.3